#1
5
Lattice="4.176 0.000 0.000 0.000 4.176 0.000 2.088 2.088 4.610" Properties=species:S:1:pos:R:3 comment="CrIn2N2 | Alexandria via LeMat-Bulk | PBE | relaxed" vol_a3_per_cell=80 pbc="T T T"
In 2.088 2.088 1.459
In 4.176 4.176 3.151
Cr 0.000 0.000 0.000
N 2.088 4.176 2.305
N 4.176 2.088 2.305

=====

#2
10
Lattice="6.951 0.000 0.000 0.000 6.951 0.000 0.000 0.000 3.114" Properties=species:S:1:pos:R:3 comment="CrIn2N2 | Alexandria via LeMat-Bulk | PBE | relaxed" vol_a3_per_cell=150 pbc="T T T"
In 1.002 2.474 0.000
In 5.949 4.478 0.000
In 4.478 1.002 0.000
In 2.474 5.949 0.000
Cr 3.476 3.476 0.000
Cr 0.000 0.000 0.000
N 1.161 4.636 1.557
N 4.636 5.791 1.557
N 2.315 1.161 1.557
N 5.791 2.315 1.557

=====

Energetically preferred structure: #1 | next structure: +363 meV/atom

=====

#1
5
Lattice="-4.400 -2.738 0.043 2.257 -3.662 -2.310 1.327 -2.062 4.565" Properties=species:S:1:pos:R:3 comment="CrIn2SbN | Alexandria via LeMat-Bulk | PBE | relaxed" vol_a3_per_cell=131 pbc="T T T"
In -2.200 -1.369 0.021
In 0.664 -1.031 2.283
Cr 0.000 0.000 0.000
N -0.408 -4.231 1.149
Sb 1.128 -1.831 -1.155

=====

#2
5
Lattice="5.902 0.000 0.000 0.000 4.905 0.000 0.000 0.000 5.902" Properties=species:S:1:pos:R:3 comment="CrIn2SbN | Alexandria via LeMat-Bulk | PBE | relaxed" vol_a3_per_cell=171 pbc="T T T"
Cr 0.000 2.453 0.000
Sb 0.000 0.000 0.000
N 2.951 2.453 2.951
In 0.000 0.000 2.951
In 2.951 0.000 0.000

=====

Energetically preferred structure: #1 | next structure: +831 meV/atom

=====

#1
5
Lattice="4.668 0.000 0.000 0.000 4.982 0.000 0.000 0.000 4.668" Properties=species:S:1:pos:R:3 comment="Sc2CrInN | Alexandria via LeMat-Bulk | PBE | relaxed" vol_a3_per_cell=109 pbc="T T T"
In 0.000 2.491 0.000
Sc 0.000 0.000 2.334
Sc 2.334 0.000 0.000
Cr 0.000 0.000 0.000
N 2.334 2.491 2.334

=====

#2
5
Lattice="-0.369 4.515 -0.593 -2.421 0.310 3.862 3.211 0.522 1.972" Properties=species:S:1:pos:R:3 comment="Sc2CrInN | Alexandria via LeMat-Bulk | PBE | relaxed" vol_a3_per_cell=79 pbc="T T T"
N 0.000 0.000 0.000
In 0.211 2.673 2.620
Sc -0.185 2.258 -0.297
Sc -1.211 0.155 1.931
Cr 1.606 0.261 0.986

=====

Energetically preferred structure: #2 | next structure: +1957 meV/atom